1.
# PBE Pr3BiSb2Pd9, relaxed
# * space-group type: P-3m1
# * volume: 364.24 Å³/cell
# * spin magnetization: 0.000 μB/atom
# * E: -5.412 eV per atom
# * uncorrected formation energy: -532 meV per atom
data_Pr3BiSb2Pd9
_chemical_formula_sum 'Pr3 Bi1 Sb2 Pd9'
_cell_length_a 5.770
_cell_length_b 5.770
_cell_length_c 12.632
_cell_angle_alpha 90.00
_cell_angle_beta 90.00
_cell_angle_gamma 120.00
_space_group_name_H-M_alt 'P 1'
_space_group_IT_number 1
loop_
_space_group_symop_operation_xyz
'x,y,z'
loop_
_atom_site_label
_atom_site_type_symbol
_atom_site_fract_x
_atom_site_fract_y
_atom_site_fract_z
Pd1 Pd 0.835 0.670 0.673
Pd2 Pd 0.000 0.500 0.000
Pd3 Pd 0.165 0.330 0.327
Pd4 Pd 0.835 0.165 0.673
Pd5 Pd 0.165 0.835 0.327
Pd6 Pd 0.500 0.500 0.000
Pd7 Pd 0.670 0.835 0.327
Pd8 Pd 0.330 0.165 0.673
Pd9 Pd 0.500 0.000 0.000
Pr1 Pr 0.333 0.667 0.764
Pr2 Pr 0.000 0.000 0.000
Pr3 Pr 0.667 0.333 0.236
Bi1 Bi 0.000 0.000 0.500
Sb1 Sb 0.667 0.333 0.835
Sb2 Sb 0.333 0.667 0.165

=====

2.
# PBE SrPrBiPd, relaxed
# * space-group type: F-43m
# * volume: 117.42 Å³/cell
# * spin magnetization: 0.000 μB/atom
# * energy of formation from the pure elements: -0.66 eV per atom
# * E: -4.548 eV per atom
data_SrPrBiPd
_chemical_formula_sum 'Sr1 Pr1 Bi1 Pd1'
_cell_length_a 5.496
_cell_length_b 5.496
_cell_length_c 5.496
_cell_angle_alpha 60.00
_cell_angle_beta 60.00
_cell_angle_gamma 60.00
_space_group_name_H-M_alt 'P 1'
_space_group_IT_number 1
loop_
_space_group_symop_operation_xyz
'x,y,z'
loop_
_atom_site_label
_atom_site_type_symbol
_atom_site_fract_x
_atom_site_fract_y
_atom_site_fract_z
Pr1 Pr 0.250 0.250 0.250
Sr1 Sr 0.750 0.750 0.750
Pd1 Pd 0.500 0.500 0.500
Bi1 Bi 0.000 0.000 0.000

=====

3.
# PBE Bi4Pd15Pt, relaxed
# * space-group type: P4/mmm
# * volume: 345.01 Å³/cell
# * spin magnetization: 0.000 μB/atom
# * energy of formation from the pure elements: -0.20 eV per atom
# * E: -5.176 eV per atom
data_Bi4Pd15Pt
_chemical_formula_sum 'Bi4 Pd15 Pt1'
_cell_length_a 4.105
_cell_length_b 4.105
_cell_length_c 20.478
_cell_angle_alpha 90.00
_cell_angle_beta 90.00
_cell_angle_gamma 90.00
_space_group_name_H-M_alt 'P 1'
_space_group_IT_number 1
loop_
_space_group_symop_operation_xyz
'x,y,z'
loop_
_atom_site_label
_atom_site_type_symbol
_atom_site_fract_x
_atom_site_fract_y
_atom_site_fract_z
Pd1 Pd 0.000 0.500 0.702
Pd2 Pd 0.500 0.000 0.094
Pd3 Pd 0.500 0.000 0.906
Pd4 Pd 0.500 0.000 0.298
Pd5 Pd 0.500 0.500 0.400
Pd6 Pd 0.500 0.000 0.500
Pd7 Pd 0.500 0.500 0.000
Pd8 Pd 0.000 0.500 0.094
Pd9 Pd 0.500 0.500 0.600
Pd10 Pd 0.000 0.500 0.906
Pd11 Pd 0.500 0.500 0.200
Pd12 Pd 0.500 0.500 0.800
Pd13 Pd 0.000 0.500 0.500
Pd14 Pd 0.500 0.000 0.702
Pd15 Pd 0.000 0.500 0.298
Bi1 Bi 0.000 0.000 0.604
Bi2 Bi 0.000 0.000 0.396
Bi3 Bi 0.000 0.000 0.188
Bi4 Bi 0.000 0.000 0.812
Pt1 Pt 0.000 0.000 0.000

=====

4.
# PBE BiPd6Pt3, relaxed
# * space-group type: C2/m
# * volume: 172.67 Å³/cell
# * spin magnetization: 0.000 μB/atom
# * energy of formation from the pure elements: 0.04 eV per atom
# * E: -5.277 eV per atom
data_BiPd6Pt3
_chemical_formula_sum 'Bi1 Pd6 Pt3'
_cell_length_a 5.367
_cell_length_b 7.525
_cell_length_c 5.367
_cell_angle_alpha 69.58
_cell_angle_beta 60.53
_cell_angle_gamma 69.58
_space_group_name_H-M_alt 'P 1'
_space_group_IT_number 1
loop_
_space_group_symop_operation_xyz
'x,y,z'
loop_
_atom_site_label
_atom_site_type_symbol
_atom_site_fract_x
_atom_site_fract_y
_atom_site_fract_z
Bi1 Bi 0.500 0.500 0.500
Pd1 Pd 0.653 0.052 0.653
Pd2 Pd 0.438 0.698 0.932
Pd3 Pd 0.932 0.698 0.438
Pd4 Pd 0.562 0.302 0.068
Pd5 Pd 0.068 0.302 0.562
Pd6 Pd 0.347 0.948 0.347
Pt1 Pt 0.000 0.000 0.000
Pt2 Pt 0.069 0.301 0.069
Pt3 Pt 0.931 0.699 0.931